DFT (PBE) results for a geometry-optimized BiIr7 structure.

Output
ρ: 13.4 g/cm3
Total energy: -0.299 hartree per atom

Structure (CIF):
```
data_BiIr7
_symmetry_space_group_name_H-M 'P m m n'
_symmetry_Int_Tables_number 59
_cell_length_a 2.8093
_cell_length_b 3.8471
_cell_length_c 35.5533
_cell_angle_alpha 90.00
_cell_angle_beta 90.00
_cell_angle_gamma 90.00
loop_
_symmetry_equiv_pos_as_xyz
'x,y,z'
'-x,-y,-z'
'-x+1/2,-y+1/2,z'
'x+1/2,y+1/2,-z'
'x+1/2,-y,-z'
'-x+1/2,y,z'
'-x,y+1/2,-z'
'x,-y+1/2,z'
loop_
_atom_site_label
_atom_site_fract_x
_atom_site_fract_y
_atom_site_fract_z
_atom_site_occupancy
Bi1 0.2500 0.2500 0.2026 1
Ir1 0.2500 0.2500 0.2898 1
Ir2 0.2500 0.2500 0.3659 1
Ir3 0.2500 0.2500 0.4422 1
Ir4 0.2500 0.2500 0.5192 1
Ir5 0.2500 0.2500 0.5957 1
Ir6 0.2500 0.2500 0.6727 1
Ir7 0.2500 0.2500 0.7495 1
```